Compound: NaBi2Pb2
Source: Alexandria
Functional: PBE-GGA
Structure: relaxed

a = 5.134 Å, b = 5.134 Å, c = 8.105 Å
α = 71.53°, β = 71.53°, γ = 90.00°
Element x y z (fractional)
Pb 0.750 0.250 0.500
Pb 0.250 0.750 0.500
Na 0.000 0.000 0.000
Bi 0.389 0.389 0.223
Bi 0.611 0.611 0.777

Properties
As for the offset from the most stable computed form: 56 meV/atom. As for the formation energy: -0.035 eV/atom.

---

Compound: Tl10HgAu4
Source: Alexandria
Functional: PBE-GGA
Structure: relaxed

a = 7.052 Å, b = 8.676 Å, c = 8.676 Å
α = 80.49°, β = 66.02°, γ = 66.02°
Element x y z (fractional)
Tl 0.250 0.500 0.500
Tl 0.642 0.308 0.896
Tl 0.050 0.104 0.308
Tl 0.462 0.896 0.692
Tl 0.846 0.692 0.104
Tl 0.358 0.692 0.104
Tl 0.750 0.500 0.500
Tl 0.154 0.308 0.896
Tl 0.538 0.104 0.308
Tl 0.950 0.896 0.692
Hg 0.000 0.000 0.000
Au 0.400 0.799 0.401
Au 0.801 0.599 0.799
Au 0.199 0.401 0.201
Au 0.600 0.201 0.599

Properties
As for the formation energy: -0.030 eV/atom.

---

Compound: Nd5TmHg4
Source: Alexandria
Functional: PBE-GGA
Structure: relaxed

a = 3.805 Å, b = 3.805 Å, c = 20.232 Å
α = 90.00°, β = 90.00°, γ = 90.00°
Element x y z (fractional)
Nd 0.500 0.500 0.117
Nd 0.500 0.500 0.309
Nd 0.500 0.500 0.500
Nd 0.500 0.500 0.691
Nd 0.500 0.500 0.883
Tm 0.000 0.000 0.000
Hg 0.000 0.000 0.210
Hg 0.000 0.000 0.404
Hg 0.000 0.000 0.596
Hg 0.000 0.000 0.790

Properties
As for the formation energy: -0.359 eV/atom.

---

Compound: InCuAg6
Source: Alexandria
Functional: PBE-GGA
Structure: relaxed

a = 5.537 Å, b = 5.537 Å, c = 5.537 Å
α = 88.52°, β = 88.52°, γ = 88.52°
Element x y z (fractional)
In 0.000 0.000 0.000
Cu 0.500 0.500 0.500
Ag 0.173 0.540 0.173
Ag 0.173 0.173 0.540
Ag 0.827 0.460 0.827
Ag 0.460 0.827 0.827
Ag 0.827 0.827 0.460
Ag 0.540 0.173 0.173

Properties
As for the offset from the most stable computed form: 0 meV/atom. As for the formation energy: 0.266 eV/atom.

---

Compound: NiSbRh
Source: Alexandria
Functional: PBE-GGA
Structure: relaxed

a = 3.243 Å, b = 3.243 Å, c = 5.470 Å
α = 90.00°, β = 90.00°, γ = 120.00°
Element x y z (fractional)
Ni 0.000 0.000 0.995
Rh 0.667 0.333 0.329
Sb 0.333 0.667 0.676

Properties
As for the uncorrected formation energy: 0.14 eV/atom.

---

Compound: V2Pb2C
Source: Alexandria
Functional: PBE-GGA
Structure: relaxed

a = 5.798 Å, b = 5.798 Å, c = 5.265 Å
α = 90.00°, β = 90.00°, γ = 90.00°
Element x y z (fractional)
Pb 0.185 0.685 0.500
Pb 0.685 0.815 0.500
Pb 0.815 0.315 0.500
Pb 0.315 0.185 0.500
C 0.000 0.000 0.000
C 0.500 0.500 0.000
V 0.316 0.816 0.000
V 0.816 0.684 0.000
V 0.684 0.184 0.000
V 0.184 0.316 0.000

Properties
As for the offset from the most stable computed form: 0 meV/atom. As for the formation energy: 0.621 eV/atom.

---

Compound: AcDy4Au5
Source: Alexandria
Functional: PBE-GGA
Structure: relaxed

a = 3.634 Å, b = 3.634 Å, c = 18.548 Å
α = 90.00°, β = 90.00°, γ = 90.00°
Element x y z (fractional)
Ac 0.000 0.000 0.000
Dy 0.000 0.000 0.209
Dy 0.000 0.000 0.403
Dy 0.000 0.000 0.597
Dy 0.000 0.000 0.791
Au 0.500 0.500 0.120
Au 0.500 0.500 0.307
Au 0.500 0.500 0.500
Au 0.500 0.500 0.693
Au 0.500 0.500 0.880

Properties
As for the formation energy: -0.833 eV/atom.

---

Compound: CoIrBr
Source: Alexandria
Functional: PBE-GGA
Structure: relaxed

a = 5.987 Å, b = 5.987 Å, c = 5.987 Å
α = 151.19°, β = 151.19°, γ = 41.20°
Element x y z (fractional)
Br 0.005 0.005 0.000
Co 0.684 0.684 0.000
Ir 0.311 0.311 0.000

Properties
As for the uncorrected formation energy: 0.76 eV/atom. As for the offset from the most stable computed form: 62 meV/atom.

---

Compound: LaVCrS2
Source: Alexandria
Functional: PBE-GGA
Structure: relaxed

a = 4.631 Å, b = 5.149 Å, c = 4.631 Å
α = 90.00°, β = 90.00°, γ = 90.00°
Element x y z (fractional)
Cr 0.500 0.500 0.500
S 0.000 0.000 0.500
S 0.500 0.000 0.000
V 0.000 0.000 0.000
La 0.000 0.500 0.000

Properties
As for the uncorrected formation energy: 0.12 eV/atom.

---

Compound: LiNdEuRu
Source: Alexandria
Functional: PBE-GGA
Structure: relaxed

a = 5.069 Å, b = 5.069 Å, c = 5.069 Å
α = 60.00°, β = 60.00°, γ = 60.00°
Element x y z (fractional)
Eu 0.500 0.500 0.500
Ru 0.750 0.750 0.750
Nd 0.000 0.000 0.000
Li 0.250 0.250 0.250

Properties
As for the formation energy: -0.022 eV/atom.

---

Compound: Dy2CuGe4Pt3
Source: Alexandria
Functional: PBE-GGA
Structure: relaxed

a = 4.158 Å, b = 4.158 Å, c = 10.688 Å
α = 90.00°, β = 90.00°, γ = 90.00°
Element x y z (fractional)
Dy 0.500 0.000 0.264
Dy 0.000 0.500 0.736
Cu 0.500 0.500 0.500
Ge 0.500 0.500 0.000
Ge 0.000 0.000 0.000
Ge 0.500 0.000 0.633
Ge 0.000 0.500 0.367
Pt 0.000 0.000 0.500
Pt 0.500 0.000 0.862
Pt 0.000 0.500 0.138

Properties
As for the formation energy: -0.799 eV/atom.

---

Compound: Sm4SbSe2
Source: Alexandria
Functional: PBE-GGA
Structure: relaxed

a = 4.207 Å, b = 7.128 Å, c = 14.029 Å
α = 90.00°, β = 90.00°, γ = 107.16°
Element x y z (fractional)
Sm 0.773 0.545 0.122
Sm 0.773 0.545 0.378
Sm 0.227 0.455 0.878
Sm 0.227 0.455 0.622
Sm 0.937 0.874 0.750
Sm 0.063 0.126 0.250
Sm 0.500 0.000 0.000
Sm 0.500 0.000 0.500
Sb 0.605 0.210 0.750
Sb 0.395 0.790 0.250
Se 0.137 0.273 0.439
Se 0.863 0.727 0.939
Se 0.137 0.273 0.061
Se 0.863 0.727 0.561

Properties
As for the uncorrected formation energy: -1.37 eV/atom.

---

Values of D(E_F), in order: 3.484; 5.527; 12.626; 1.592; 3.158; 5.527; 4.489; 3.106; 4.977; 10.768; 4.839; 5.232, all in states/eV/f.u..
Values of E, in order: -3.33; -2.50; -3.31; -2.73; -5.62; -6.35; -4.72; -5.12; -6.27; -6.58; -5.79; -5.65, all in eV/atom.